# 1
Material: ScSbOF2
Method: DFT, PBE
State: optimized geometry

## Properties
space group: P4/mmm, No. 123
energy relative to the lowest polymorph listed for this composition: 0 meV per atom
uncorrected formation energy: -1077.8 kJ/mol of formula units

abc: 4.2343 4.2343 4.1648
angles: 90.00 90.00 90.00
With the nearest neighbours (Å) after each atom.
Atoms (fractional coordinates):
Sc1 0.0000 0.0000 0.0000  2 O 2.08, 4 F 2.12
Sb1 0.5000 0.5000 0.5000  8 F 2.97, 4 O 2.99
O1 0.0000 0.0000 0.5000  2 Sc 2.08
F1 0.0000 0.5000 0.0000  2 Sc 2.12
F2 0.5000 0.0000 0.0000  2 Sc 2.12

***

# 2
Material: TlCd2N
Method: DFT, PBE
State: optimized geometry

## Properties
space group: Fm-3m, No. 225
energy relative to the lowest polymorph listed for this composition: 565 meV per atom
uncorrected formation energy: 395.2 kJ/mol of formula units

abc: 4.8560 4.8560 4.8560
angles: 60.00 60.00 60.00
With the nearest neighbours (Å) after each atom.
Atoms (fractional coordinates):
Tl1 0.0000 0.0000 0.0000  8 Cd 2.97
Cd1 0.2500 0.2500 0.2500  4 N 2.97, 4 Tl 2.97
Cd2 0.7500 0.7500 0.7500  4 N 2.97, 4 Tl 2.97
N1 0.5000 0.5000 0.5000  8 Cd 2.97

***

> Which formula does entry 2 have?

TlCd2N